The following is a DFT calculation (PBE-GGA) of a geometry-optimized Pm8SiSb2 structure.

a = 9.712 Å, b = 9.712 Å, c = 7.689 Å
α = 94.46°, β = 94.46°, γ = 28.28°
Sites, in units of the cell vectors:
Pm  0.002  0.002  0.270
Pm  0.217  0.217  0.859
Pm  0.344  0.344  0.459
Pm  0.403  0.403  0.979
Pm  0.597  0.597  0.021
Pm  0.656  0.656  0.541
Pm  0.783  0.783  0.141
Pm  0.998  0.998  0.730
Si  0.500  0.500  0.500
Sb  0.177  0.177  0.274
Sb  0.823  0.823  0.726

* uncorrected formation energy: -0.493 eV/atom



The following is a DFT calculation (PBE-GGA) of a geometry-optimized Pm2SiSb structure.

a = 3.473 Å, b = 3.473 Å, c = 8.542 Å
α = 90.00°, β = 90.00°, γ = 90.00°
Sites, in units of the cell vectors:
Pm  0.000  0.000  0.224
Pm  0.000  0.000  0.776
Si  0.500  0.500  0.000
Sb  0.500  0.500  0.500

* uncorrected formation energy: -0.633 eV/atom
* energy above the most stable polymorph in this dataset: 262 meV per atom



The following is a DFT calculation (PBE-GGA) of a geometry-optimized Pm2SiSb structure.

a = 5.326 Å, b = 5.326 Å, c = 5.326 Å
α = 60.00°, β = 60.00°, γ = 60.00°
Sites, in units of the cell vectors:
Pm  0.250  0.250  0.250
Pm  0.750  0.750  0.750
Si  0.000  0.000  0.000
Sb  0.500  0.500  0.500

* uncorrected formation energy: -0.544 eV/atom
* energy above the most stable polymorph in this dataset: 350 meV per atom



The following is a DFT calculation (PBE-GGA) of a geometry-optimized Pm3SiSb structure.

a = 8.375 Å, b = 8.375 Å, c = 8.662 Å
α = 94.90°, β = 94.90°, γ = 27.95°
Sites, in units of the cell vectors:
Pm  0.048  0.048  0.198
Pm  0.242  0.242  0.803
Pm  0.402  0.402  0.444
Pm  0.598  0.598  0.556
Pm  0.758  0.758  0.197
Pm  0.952  0.952  0.802
Si  0.212  0.212  0.435
Si  0.788  0.788  0.565
Sb  0.391  0.391  0.070
Sb  0.609  0.609  0.930

* uncorrected formation energy: -0.738 eV/atom
* energy above the most stable polymorph in this dataset: 0 meV per atom



The following is a DFT calculation (PBE-GGA) of a geometry-optimized Pm4SiSb2 structure.

a = 8.159 Å, b = 8.159 Å, c = 7.588 Å
α = 116.90°, β = 116.90°, γ = 31.56°
Sites, in units of the cell vectors:
Pm  0.119  0.119  0.436
Pm  0.378  0.378  0.020
Pm  0.622  0.622  0.980
Pm  0.881  0.881  0.564
Si  0.000  0.000  0.000
Sb  0.265  0.265  0.265
Sb  0.735  0.735  0.735

* uncorrected formation energy: -0.737 eV/atom
* energy above the most stable polymorph in this dataset: 0 meV per atom



The following is a DFT calculation (PBE-GGA) of a geometry-optimized Pm8Si2Sb structure.

a = 8.084 Å, b = 8.084 Å, c = 5.701 Å
α = 97.70°, β = 97.70°, γ = 114.63°
Sites, in units of the cell vectors:
Pm  0.072  0.317  0.596
Pm  0.245  0.755  0.000
Pm  0.317  0.072  0.596
Pm  0.399  0.399  0.205
Pm  0.601  0.601  0.795
Pm  0.683  0.928  0.404
Pm  0.755  0.245  0.000
Pm  0.928  0.683  0.404
Si  0.309  0.691  0.500
Si  0.691  0.309  0.500
Sb  0.000  0.000  0.000

* uncorrected formation energy: -0.374 eV/atom



The following is a DFT calculation (PBE-GGA) of a geometry-optimized Pm5SiSb4 structure.

a = 7.691 Å, b = 7.691 Å, c = 7.691 Å
α = 99.62°, β = 99.62°, γ = 131.73°
Sites, in units of the cell vectors:
Pm  0.000  0.000  0.000
Pm  0.210  0.598  0.809
Pm  0.402  0.210  0.612
Pm  0.598  0.790  0.388
Pm  0.790  0.402  0.191
Si  0.500  0.500  0.000
Sb  0.096  0.302  0.398
Sb  0.302  0.904  0.207
Sb  0.698  0.096  0.793
Sb  0.904  0.698  0.602

* uncorrected formation energy: -1.025 eV/atom



The following is a DFT calculation (PBE-GGA) of a geometry-optimized Pm6Si2SbTe3 structure.

a = 9.890 Å, b = 9.890 Å, c = 8.903 Å
α = 103.64°, β = 103.64°, γ = 25.58°
Sites, in units of the cell vectors:
Pm  0.010  0.010  0.251
Pm  0.327  0.327  0.431
Pm  0.332  0.332  0.892
Pm  0.668  0.668  0.108
Pm  0.673  0.673  0.569
Pm  0.990  0.990  0.749
Si  0.168  0.168  0.335
Si  0.832  0.832  0.665
Sb  0.500  0.500  0.000
Te  0.163  0.163  0.834
Te  0.500  0.500  0.500
Te  0.837  0.837  0.166

* uncorrected formation energy: -1.210 eV/atom



The following is a DFT calculation (PBE-GGA) of a geometry-optimized Pm8Si3SbTe4 structure.

a = 8.870 Å, b = 8.870 Å, c = 8.870 Å
α = 59.07°, β = 59.07°, γ = 59.07°
Sites, in units of the cell vectors:
Pm  0.231  0.748  0.748
Pm  0.241  0.241  0.241
Pm  0.252  0.252  0.769
Pm  0.252  0.769  0.252
Pm  0.748  0.231  0.748
Pm  0.748  0.748  0.231
Pm  0.759  0.759  0.759
Pm  0.769  0.252  0.252
Si  0.000  0.000  0.500
Si  0.000  0.500  0.000
Si  0.500  0.000  0.000
Sb  0.500  0.500  0.500
Te  0.000  0.000  0.000
Te  0.000  0.500  0.500
Te  0.500  0.000  0.500
Te  0.500  0.500  0.000

* uncorrected formation energy: -1.186 eV/atom



The following is a DFT calculation (PBE-GGA) of a geometry-optimized PmSmSb structure.

a = 5.193 Å, b = 5.193 Å, c = 5.193 Å
α = 60.00°, β = 60.00°, γ = 60.00°
Sites, in units of the cell vectors:
Pm  0.000  0.000  0.000
Sm  0.500  0.500  0.500
Sb  0.250  0.250  0.250

* uncorrected formation energy: -0.634 eV/atom
* energy above the most stable polymorph in this dataset: 205 meV per atom



The following is a DFT calculation (PBE-GGA) of a geometry-optimized PmSm5Sb6 structure.

a = 7.752 Å, b = 7.752 Å, c = 7.751 Å
α = 99.60°, β = 99.60°, γ = 120.00°
Sites, in units of the cell vectors:
Pm  0.000  0.000  0.000
Sm  0.166  0.834  0.500
Sm  0.333  0.667  0.000
Sm  0.500  0.500  0.500
Sm  0.667  0.333  0.000
Sm  0.834  0.166  0.500
Sb  0.084  0.418  0.251
Sb  0.251  0.251  0.750
Sb  0.418  0.084  0.251
Sb  0.582  0.916  0.749
Sb  0.749  0.749  0.250
Sb  0.916  0.582  0.749

* uncorrected formation energy: -1.179 eV/atom



The following is a DFT calculation (PBE-GGA) of a geometry-optimized Pm2SmSb structure.

a = 4.889 Å, b = 4.889 Å, c = 4.893 Å
α = 90.00°, β = 90.00°, γ = 90.00°
Sites, in units of the cell vectors:
Pm  0.000  0.500  0.000
Pm  0.500  0.000  0.000
Sm  0.000  0.000  0.500
Sb  0.500  0.500  0.500

* uncorrected formation energy: -0.538 eV/atom
* energy above the most stable polymorph in this dataset: 29 meV per atom